[1]
This record from Alexandria describes a geometry-optimized PrGdTl2 structure. The functional is GGA-PBE.

Computed properties:
Electronic total energy: -6.1619 eV/atom
Space-group type: R-3m (166)
Energy of formation: -264 meV per atom
Crystal system: trigonal

a = 10.0868 Å, b = 10.0868 Å, c = 10.0868 Å
α = 21.95°, β = 21.95°, γ = 21.95°
Closest atoms and distances in Å follow each position.
Sites, in units of the cell vectors:
1 Pr 0.0000 0.0000 0.0000  6 Tl 3.36
2 Gd 0.5000 0.5000 0.5000  6 Tl 3.27
3 Tl 0.2480 0.2480 0.2480  3 Gd 3.27, 3 Pr 3.36
4 Tl 0.7520 0.7520 0.7520  3 Gd 3.27, 3 Pr 3.36

***

[2]
This record from Alexandria describes a geometry-optimized PmSm7In2 structure. The functional is GGA-PBE.

Computed properties:
Electronic total energy: -3.9982 eV/atom
Space-group type: Cmmm (65)
Energy of formation: 328 meV per atom
Crystal system: orthorhombic

a = 9.1298 Å, b = 9.1298 Å, c = 5.4866 Å
α = 90.00°, β = 90.00°, γ = 118.85°
Closest atoms and distances in Å follow each position.
Sites, in units of the cell vectors:
1 Pm 0.0000 0.0000 0.0000  10 Sm 3.56-3.74
2 Sm 0.0600 0.3028 0.5000  2 In 3.18-3.33, 2 Sm 3.37-3.52
3 Sm 0.2268 0.7732 0.0000  2 In 3.00
4 Sm 0.3028 0.0600 0.5000  2 In 3.18-3.33, 2 Sm 3.37-3.52
5 Sm 0.5000 0.5000 0.5000  2 In 3.08
6 Sm 0.6972 0.9400 0.5000  2 In 3.18-3.33, 2 Sm 3.37-3.52
7 Sm 0.7732 0.2268 0.0000  2 In 3.00
8 Sm 0.9400 0.6972 0.5000  2 In 3.18-3.33, 2 Sm 3.37-3.52
9 In 0.3041 0.6959 0.5000  7 Sm 3.00-3.33
10 In 0.6959 0.3041 0.5000  7 Sm 3.00-3.33

***

[3]
This record from Alexandria describes a geometry-optimized LiMg2InPd structure. The functional is GGA-PBE.

Computed properties:
Electronic total energy: -2.1255 eV/atom
Space-group type: P4/mmm (123)
Energy of formation: 481 meV per atom
Crystal system: tetragonal

a = 5.2164 Å, b = 5.2164 Å, c = 4.8817 Å
α = 90.00°, β = 90.00°, γ = 90.00°
Closest atoms and distances in Å follow each position.
Sites, in units of the cell vectors:
1 Li 0.0000 0.0000 0.0000  2 In 2.44
2 Mg 0.0000 0.5000 0.5000  2 In 2.61
3 Mg 0.5000 0.0000 0.5000  2 In 2.61
4 In 0.0000 0.0000 0.5000  2 Li 2.44, 4 Mg 2.61
5 Pd 0.5000 0.5000 0.0000  8 Mg 3.57, 4 Li 3.69

***

[4]
This record from Alexandria describes a geometry-optimized ZnCu4Rh structure. The functional is GGA-PBE.

Computed properties:
Electronic total energy: -3.9557 eV/atom
Space-group type: Cmcm (63)
Energy of formation: 213 meV per atom
Crystal system: orthorhombic

a = 6.4908 Å, b = 6.4908 Å, c = 6.8659 Å
α = 90.00°, β = 90.00°, γ = 142.16°
Closest atoms and distances in Å follow each position.
Sites, in units of the cell vectors:
1 Zn 0.1374 0.8626 0.7500  3 Cu 2.34-2.59, 1 Rh 2.50
2 Zn 0.8626 0.1374 0.2500  3 Cu 2.34-2.59, 1 Rh 2.50
3 Cu 0.0527 0.9473 0.2500  1 Zn 2.34, 2 Rh 2.48, 2 Cu 2.59
4 Cu 0.2411 0.7589 0.0793  4 Cu 2.34-2.59, 3 Rh 2.57-2.61, 1 Zn 2.59
5 Cu 0.2411 0.7589 0.4207  4 Cu 2.34-2.59, 3 Rh 2.57-2.61, 1 Zn 2.59
6 Cu 0.5000 0.5000 0.0000  2 Rh 2.60, 4 Cu 2.79
7 Cu 0.5000 0.5000 0.5000  2 Rh 2.60, 4 Cu 2.79
8 Cu 0.7589 0.2411 0.5793  4 Cu 2.34-2.59, 3 Rh 2.57-2.61, 1 Zn 2.59
9 Cu 0.7589 0.2411 0.9207  4 Cu 2.34-2.59, 3 Rh 2.57-2.61, 1 Zn 2.59
10 Cu 0.9473 0.0527 0.7500  1 Zn 2.34, 2 Rh 2.48, 2 Cu 2.59
11 Rh 0.3409 0.6591 0.7500  10 Cu 2.48-2.61, 1 Zn 2.50
12 Rh 0.6591 0.3409 0.2500  10 Cu 2.48-2.61, 1 Zn 2.50

***

[5]
This record from Alexandria describes a geometry-optimized Cs2BaPrBr6 structure. The functional is GGA-PBE.

Computed properties:
Electronic total energy: -3.6400 eV/atom
ΔE_f (raw): -1.7954 eV/atom
Space-group type: Fm-3m (225)
Crystal system: cubic

a = 8.6691 Å, b = 8.6691 Å, c = 8.6691 Å
α = 60.00°, β = 60.00°, γ = 60.00°
Closest atoms and distances in Å follow each position.
Sites, in units of the cell vectors:
1 Cs 0.2500 0.2500 0.2500  12 Br 4.34
2 Cs 0.7500 0.7500 0.7500  12 Br 4.34
3 Ba 0.0000 0.0000 0.0000  6 Br 3.17
4 Pr 0.5000 0.5000 0.5000  6 Br 2.96
5 Br 0.2588 0.2588 0.7412  1 Pr 2.96, 1 Ba 3.17
6 Br 0.2588 0.7412 0.2588  1 Pr 2.96, 1 Ba 3.17
7 Br 0.2588 0.7412 0.7412  1 Pr 2.96, 1 Ba 3.17
8 Br 0.7412 0.2588 0.2588  1 Pr 2.96, 1 Ba 3.17
9 Br 0.7412 0.2588 0.7412  1 Pr 2.96, 1 Ba 3.17
10 Br 0.7412 0.7412 0.2588  1 Pr 2.96, 1 Ba 3.17

***

[6]
This record from Alexandria describes a geometry-optimized K2AgOs structure. The functional is GGA-PBE.

Computed properties:
Electronic total energy: -2.6908 eV/atom
Space-group type: I-42d (122)
Energy of formation: 1378 meV per atom
Crystal system: tetragonal

a = 7.0252 Å, b = 7.0252 Å, c = 7.0252 Å
α = 99.59°, β = 99.59°, γ = 131.83°
Closest atoms and distances in Å follow each position.
Sites, in units of the cell vectors:
1 K 0.1150 0.1250 0.4900  2 K 2.87
2 K 0.3750 0.8850 0.0100  2 K 2.87
3 K 0.6350 0.6250 0.5100  2 K 2.87
4 K 0.8750 0.3650 0.9900  2 K 2.87
5 Ag 0.0000 0.0000 0.0000  2 Os 2.87
6 Ag 0.7500 0.2500 0.5000  2 Os 2.87
7 Os 0.2500 0.7500 0.5000  2 Ag 2.87
8 Os 0.5000 0.5000 0.0000  2 Ag 2.87

***

[7]
This record from Alexandria describes a geometry-optimized K2HoNpO6 structure. The functional is GGA-PBE.

Computed properties:
Electronic total energy: -7.6350 eV/atom
ΔE_f (raw): -2.6888 eV/atom
Space-group type: Fm-3m (225)
Crystal system: cubic

a = 6.0655 Å, b = 6.0655 Å, c = 6.0655 Å
α = 60.00°, β = 60.00°, γ = 60.00°
Closest atoms and distances in Å follow each position.
Sites, in units of the cell vectors:
1 K 0.2500 0.2500 0.2500  12 O 3.03
2 K 0.7500 0.7500 0.7500  12 O 3.03
3 Ho 0.0000 0.0000 0.0000  6 O 2.26
4 Np 0.5000 0.5000 0.5000  6 O 2.03
5 O 0.2630 0.2630 0.7370  1 Np 2.03, 1 Ho 2.26
6 O 0.2630 0.7370 0.2630  1 Np 2.03, 1 Ho 2.26
7 O 0.2630 0.7370 0.7370  1 Np 2.03, 1 Ho 2.26
8 O 0.7370 0.2630 0.2630  1 Np 2.03, 1 Ho 2.26
9 O 0.7370 0.2630 0.7370  1 Np 2.03, 1 Ho 2.26
10 O 0.7370 0.7370 0.2630  1 Np 2.03, 1 Ho 2.26

***

[8]
This record from Alexandria describes a geometry-optimized Sr2CuPb2 structure. The functional is GGA-PBE.

Computed properties:
Electronic total energy: -3.2293 eV/atom
Space-group type: P4/mbm (127)
Energy of formation: -254 meV per atom
Crystal system: tetragonal

a = 7.7546 Å, b = 7.7546 Å, c = 5.2447 Å
α = 90.00°, β = 90.00°, γ = 90.00°
Closest atoms and distances in Å follow each position.
Sites, in units of the cell vectors:
1 Sr 0.1639 0.3361 0.0000  6 Pb 3.33-3.57, 1 Sr 3.60
2 Sr 0.3361 0.8361 0.0000  6 Pb 3.33-3.57, 1 Sr 3.60
3 Sr 0.6639 0.1639 0.0000  6 Pb 3.33-3.57, 1 Sr 3.60
4 Sr 0.8361 0.6639 0.0000  6 Pb 3.33-3.57, 1 Sr 3.60
5 Cu 0.0000 0.0000 0.5000  4 Pb 2.96
6 Cu 0.5000 0.5000 0.5000  4 Pb 2.96
7 Pb 0.1488 0.6488 0.5000  2 Cu 2.96, 1 Pb 3.26
8 Pb 0.3512 0.1488 0.5000  2 Cu 2.96, 1 Pb 3.26
9 Pb 0.6488 0.8512 0.5000  2 Cu 2.96, 1 Pb 3.26
10 Pb 0.8512 0.3512 0.5000  2 Cu 2.96, 1 Pb 3.26

***

[9]
This record from Alexandria describes a geometry-optimized Mg2Se2N structure. The functional is GGA-PBE.

Computed properties:
Electronic total energy: -3.5363 eV/atom
ΔE_f (raw): 0.1604 eV/atom
Space-group type: I4/mmm (139)
Crystal system: tetragonal

a = 5.1697 Å, b = 5.1697 Å, c = 5.1697 Å
α = 120.91°, β = 120.91°, γ = 88.44°
Closest atoms and distances in Å follow each position.
Sites, in units of the cell vectors:
1 Mg 0.2500 0.7500 0.5000  4 Se 2.59
2 Mg 0.7500 0.2500 0.5000  4 Se 2.59
3 Se 0.1849 0.1849 0.0000  1 N 2.34, 4 Mg 2.59
4 Se 0.8151 0.8151 0.0000  1 N 2.34, 4 Mg 2.59
5 N 0.5000 0.5000 0.0000  2 Se 2.34

***

[10]
This record from Alexandria describes a geometry-optimized CsTeSe2Br structure. The functional is GGA-PBE.

Computed properties:
Electronic total energy: -1.7589 eV/atom
ΔE_f (raw): 0.7685 eV/atom
Space-group type: P4/mmm (123)
Crystal system: tetragonal

a = 6.7972 Å, b = 6.7972 Å, c = 6.7005 Å
α = 90.00°, β = 90.00°, γ = 90.00°
Closest atoms and distances in Å follow each position.
Sites, in units of the cell vectors:
1 Cs 0.0000 0.0000 0.0000  2 Br 3.35, 4 Se 3.40
2 Te 0.5000 0.5000 0.5000  8 Se 4.77, 4 Br 4.81
3 Se 0.0000 0.5000 0.0000  2 Cs 3.40
4 Se 0.5000 0.0000 0.0000  2 Cs 3.40
5 Br 0.0000 0.0000 0.5000  2 Cs 3.35

***

[11]
This record from Alexandria describes a geometry-optimized Ba2Na2PtO6 structure. The functional is GGA-PBE.

Computed properties:
Electronic total energy: -5.3139 eV/atom
ΔE_f (raw): -1.4708 eV/atom
Space-group type: C2/m (12)
Crystal system: monoclinic

a = 6.4127 Å, b = 6.4127 Å, c = 5.9329 Å
α = 96.12°, β = 96.12°, γ = 119.16°
Closest atoms and distances in Å follow each position.
Sites, in units of the cell vectors:
1 Ba 0.1618 0.8382 0.0000  6 O 2.67-2.70
2 Ba 0.8382 0.1618 0.0000  6 O 2.67-2.70
3 Na 0.3795 0.6205 0.5000  4 O 2.31-2.37
4 Na 0.6205 0.3795 0.5000  4 O 2.31-2.37
5 Pt 0.5000 0.5000 0.0000  6 O 2.01-2.02
6 O 0.2042 0.4681 0.8085  1 Pt 2.01
7 O 0.2902 0.2902 0.2085  1 Pt 2.02
8 O 0.4681 0.2042 0.8085  1 Pt 2.01
9 O 0.5319 0.7958 0.1915  1 Pt 2.01
10 O 0.7098 0.7098 0.7915  1 Pt 2.02
11 O 0.7958 0.5319 0.1915  1 Pt 2.01

***

[12]
This record from Alexandria describes a geometry-optimized Ti3InRh structure. The functional is GGA-PBE.

Computed properties:
Electronic total energy: -6.9496 eV/atom
Space-group type: C2/m (12)
Energy of formation: -195 meV per atom
Crystal system: monoclinic

a = 5.2409 Å, b = 5.2409 Å, c = 9.2508 Å
α = 99.54°, β = 99.54°, γ = 46.80°
Closest atoms and distances in Å follow each position.
Sites, in units of the cell vectors:
1 Ti 0.0380 0.0380 0.3568  2 Rh 2.51-2.52
2 Ti 0.1475 0.1475 0.9444  7 Ti 2.90-3.19, 5 In 2.94-3.02
3 Ti 0.3007 0.3007 0.2584  2 Rh 2.49
4 Ti 0.6993 0.6993 0.7416  2 Rh 2.49
5 Ti 0.8525 0.8525 0.0556  7 Ti 2.90-3.19, 5 In 2.94-3.02
6 Ti 0.9620 0.9620 0.6432  2 Rh 2.51-2.52
7 In 0.4228 0.4228 0.8483  1 Rh 2.81, 10 Ti 2.89-3.03, 1 In 2.93
8 In 0.5772 0.5772 0.1517  1 Rh 2.81, 10 Ti 2.89-3.03, 1 In 2.93
9 Rh 0.2107 0.2107 0.5965  4 Ti 2.49-2.52
10 Rh 0.7893 0.7893 0.4035  4 Ti 2.49-2.52